Material: Al2CuCl
Method: DFT, GGA-PBEsol
State: relaxed

Output
The value obtained for the calculated volume is 16.1 A^3/atom. For the uncorrected energy, the calculation gives -3.72 eV per atom. For the uncorrected formation energy, the calculation gives -85 meV per atom. Its symmetry is Amm2, No. 38.

Cell lengths 4.5461, 5.1804, 5.1804 Å; angles 31.92, 90.00, 90.00 degrees
Sites, in units of the cell vectors:
1 Al 0.0000 0.0000 0.0000
2 Al 0.5000 0.2575 0.2575
3 Cu 0.5000 0.5221 0.5221
4 Cl 0.0000 0.7660 0.7660